# Ac2TlAuO5

A geometry-optimized Ac2TlAuO5 structure (PBE, Alexandria).

Lattice parameters (Å, degrees): 7.2754 7.2754 6.0591 90.00 90.00 90.00
Fractional positions:
Ac1 0.1822 0.3178 0.0000
Ac2 0.3178 0.8178 0.0000
Ac3 0.6822 0.1822 0.0000
Ac4 0.8178 0.6822 0.0000
Tl1 0.0000 0.0000 0.5000
Tl2 0.5000 0.5000 0.5000
Au1 0.0000 0.5000 0.5000
Au2 0.5000 0.0000 0.5000
O1 0.0000 0.0000 0.0000
O2 0.1300 0.6300 0.2487
O3 0.1300 0.6300 0.7513
O4 0.3700 0.1300 0.2487
O5 0.3700 0.1300 0.7513
O6 0.5000 0.5000 0.0000
O7 0.6300 0.8700 0.2487
O8 0.6300 0.8700 0.7513
O9 0.8700 0.3700 0.2487
O10 0.8700 0.3700 0.7513

Calculated values
Energy relative to the elements, uncorrected = -2.014 eV/atom



# AcTmAu2O6

A geometry-optimized AcTmAu2O6 structure (PBE, Alexandria).

Lattice parameters (Å, degrees): 6.6823 6.6823 6.6823 51.76 51.76 51.76
Fractional positions:
Ac1 0.0000 0.0000 0.0000
Tm1 0.5000 0.5000 0.5000
Au1 0.2408 0.2408 0.2408
Au2 0.7592 0.7592 0.7592
O1 0.1144 0.7321 0.4200
O2 0.2679 0.5800 0.8856
O3 0.4200 0.1144 0.7321
O4 0.5800 0.8856 0.2679
O5 0.7321 0.4200 0.1144
O6 0.8856 0.2679 0.5800

Calculated values
Energy relative to the elements, uncorrected = -1.464 eV/atom



# AcTm3Au4O12

A geometry-optimized AcTm3Au4O12 structure (PBE, Alexandria).

Lattice parameters (Å, degrees): 7.2217 7.2217 7.2217 104.66 104.66 104.66
Fractional positions:
Ac1 0.0000 0.0000 0.0000
Tm1 0.0000 0.5635 0.4365
Tm2 0.4365 0.0000 0.5635
Tm3 0.5635 0.4365 0.0000
Au1 0.0849 0.5000 0.9151
Au2 0.5000 0.5000 0.5000
Au3 0.5000 0.9151 0.0849
Au4 0.9151 0.0849 0.5000
O1 0.0077 0.2434 0.3322
O2 0.0962 0.9038 0.5000
O3 0.2434 0.3322 0.0077
O4 0.3259 0.6741 0.5000
O5 0.3322 0.0077 0.2434
O6 0.5000 0.0962 0.9038
O7 0.5000 0.3259 0.6741
O8 0.6678 0.7566 0.9923
O9 0.6741 0.5000 0.3259
O10 0.7566 0.9923 0.6678
O11 0.9038 0.5000 0.0962
O12 0.9923 0.6678 0.7566

Calculated values
Energy relative to the elements, uncorrected = -1.520 eV/atom



# AcTm4Au3O12

A geometry-optimized AcTm4Au3O12 structure (PBE, Alexandria).

Lattice parameters (Å, degrees): 7.1228 7.1228 7.1228 109.47 109.47 109.47
Fractional positions:
Ac1 0.0000 0.0000 0.0000
Tm1 0.0000 0.0000 0.5000
Tm2 0.0000 0.5000 0.0000
Tm3 0.5000 0.0000 0.0000
Tm4 0.5000 0.5000 0.5000
Au1 0.0000 0.5000 0.5000
Au2 0.5000 0.0000 0.5000
Au3 0.5000 0.5000 0.0000
O1 0.1466 0.8415 0.3051
O2 0.1585 0.3051 0.4636
O3 0.1585 0.6949 0.8534
O4 0.3051 0.1466 0.8415
O5 0.3051 0.4636 0.1585
O6 0.4636 0.1585 0.3051
O7 0.5364 0.8415 0.6949
O8 0.6949 0.5364 0.8415
O9 0.6949 0.8534 0.1585
O10 0.8415 0.3051 0.1466
O11 0.8415 0.6949 0.5364
O12 0.8534 0.1585 0.6949

Calculated values
Energy relative to the elements, uncorrected = -2.300 eV/atom



# Ac2TmAuO6

A geometry-optimized Ac2TmAuO6 structure (PBE, Alexandria).

Lattice parameters (Å, degrees): 5.5223 5.5223 5.7340 90.00 90.00 90.00
Fractional positions:
Ac1 0.0000 0.5000 0.0000
Ac2 0.5000 0.0000 0.0000
Tm1 0.0000 0.0000 0.5354
Au1 0.5000 0.5000 0.6571
O1 0.0000 0.0000 0.1626
O2 0.2447 0.2447 0.7079
O3 0.2447 0.7553 0.7079
O4 0.5000 0.5000 0.1284
O5 0.7553 0.2447 0.7079
O6 0.7553 0.7553 0.7079

Calculated values
Energy relative to the elements, uncorrected = -2.408 eV/atom



# AcTmAu2O8

A geometry-optimized AcTmAu2O8 structure (PBE, Alexandria).

Lattice parameters (Å, degrees): 6.6543 6.6543 6.6543 129.78 129.78 73.77
Fractional positions:
Ac1 0.0000 0.0000 0.0000
Tm1 0.2500 0.7500 0.5000
Au1 0.5000 0.5000 0.0000
Au2 0.7500 0.2500 0.5000
O1 0.0309 0.3693 0.9673
O2 0.1591 0.4736 0.5461
O3 0.3871 0.8409 0.3145
O4 0.4020 0.0636 0.0327
O5 0.5264 0.0726 0.6855
O6 0.6307 0.5980 0.6616
O7 0.9274 0.6129 0.4539
O8 0.9364 0.9691 0.3384

Calculated values
Energy relative to the elements, uncorrected = -1.200 eV/atom